[1]
{
  "formula": "SrCePb2",
  "functional": "PBE-GGA",
  "state": "relaxed",
  "crystal_system": "tetragonal",
  "spacegroup": "P4/mmm",
  "formation_enthalpy_0k_ev_per_atom": -0.449,
  "lattice": [[3.6804, 0.0000, 0.0000], [0.0000, 3.6804, 0.0000], [0.0000, 0.0000, 9.4220]],
  "species": ["Sr", "Ce", "Pb", "Pb"],
  "fractional_positions": [[0.0000, 0.0000, 0.0000], [0.0000, 0.0000, 0.5000], [0.5000, 0.5000, 0.2580], [0.5000, 0.5000, 0.7420]]
}

---

[2]
{
  "formula": "SrCeTlPb",
  "functional": "PBE-GGA",
  "state": "relaxed",
  "crystal_system": "tetragonal",
  "spacegroup": "P4mm",
  "de_polymorph_mev_per_atom": 0,
  "formation_enthalpy_0k_ev_per_atom": -0.370,
  "lattice": [[3.6706, 0.0000, 0.0000], [0.0000, 3.6706, 0.0000], [0.0000, 0.0000, 9.3547]],
  "species": ["Sr", "Ce", "Tl", "Pb"],
  "fractional_positions": [[0.0000, 0.0000, 0.0000], [0.0000, 0.0000, 0.4945], [0.5000, 0.5000, 0.2586], [0.5000, 0.5000, 0.7396]]
}

---

[3]
{
  "formula": "SrCeTlPb",
  "functional": "PBE-GGA",
  "state": "relaxed",
  "crystal_system": "cubic",
  "spacegroup": "F-43m",
  "de_polymorph_mev_per_atom": 32,
  "formation_enthalpy_0k_ev_per_atom": -0.338,
  "lattice": [[0.0000, 4.0138, 4.0138], [4.0138, 0.0000, 4.0138], [4.0138, 4.0138, 0.0000]],
  "species": ["Sr", "Ce", "Tl", "Pb"],
  "fractional_positions": [[0.0000, 0.0000, 0.0000], [0.5000, 0.5000, 0.5000], [0.7500, 0.7500, 0.7500], [0.2500, 0.2500, 0.2500]]
}

---

[4]
{
  "formula": "SrCeZnPb",
  "functional": "PBE-GGA",
  "state": "relaxed",
  "crystal_system": "cubic",
  "spacegroup": "F-43m",
  "formation_enthalpy_0k_ev_per_atom": -0.268,
  "lattice": [[0.0000, 3.9193, 3.9193], [3.9193, 0.0000, 3.9193], [3.9193, 3.9193, 0.0000]],
  "species": ["Sr", "Ce", "Zn", "Pb"],
  "fractional_positions": [[0.0000, 0.0000, 0.0000], [0.5000, 0.5000, 0.5000], [0.2500, 0.2500, 0.2500], [0.7500, 0.7500, 0.7500]]
}

---

[5]
{
  "formula": "Ce2TaPb",
  "functional": "PBE-GGA",
  "state": "relaxed",
  "crystal_system": "trigonal",
  "spacegroup": "R-3m",
  "formation_enthalpy_0k_ev_per_atom": 0.345,
  "lattice": [[1.5810, 0.9128, 11.5935], [-1.5810, 0.9128, 11.5935], [0.0000, -1.8255, 11.5935]],
  "species": ["Ce", "Ce", "Ta", "Pb"],
  "fractional_positions": [[0.0814, 0.0814, 0.0814], [0.9186, 0.9186, 0.9186], [0.0000, 0.0000, 0.0000], [0.5000, 0.5000, 0.5000]]
}

---

[6]
{
  "formula": "Tb3Ce2Pb4",
  "functional": "PBE-GGA",
  "state": "relaxed",
  "crystal_system": "orthorhombic",
  "spacegroup": "Cmce",
  "formation_enthalpy_0k_ev_per_atom": -0.366,
  "lattice": [[3.6143, -8.6809, 0.0000], [3.6143, 8.6809, 0.0000], [0.0000, 0.0000, 9.0958]],
  "species": ["Tb", "Tb", "Tb", "Tb", "Tb", "Tb", "Ce", "Ce", "Ce", "Ce", "Pb", "Pb", "Pb", "Pb", "Pb", "Pb", "Pb", "Pb"],
  "fractional_positions": [[0.0000, 0.0000, 0.0000], [0.0432, 0.4568, 0.2500], [0.4568, 0.0432, 0.7500], [0.5000, 0.5000, 0.5000], [0.5432, 0.9568, 0.2500], [0.9568, 0.5432, 0.7500], [0.1112, 0.8888, 0.4126], [0.3888, 0.6112, 0.9126], [0.6112, 0.3888, 0.0874], [0.8888, 0.1112, 0.5874], [0.1854, 0.8146, 0.0555], [0.2202, 0.2798, 0.2500], [0.2798, 0.2202, 0.7500], [0.3146, 0.6854, 0.5555], [0.6854, 0.3146, 0.4445], [0.7202, 0.7798, 0.2500], [0.7798, 0.7202, 0.7500], [0.8146, 0.1854, 0.9445]]
}

---

[7]
{
  "formula": "TbCe2Pb2",
  "functional": "PBE-GGA",
  "state": "relaxed",
  "crystal_system": "monoclinic",
  "spacegroup": "C2/c",
  "formation_enthalpy_0k_ev_per_atom": -0.385,
  "lattice": [[5.0656, -3.9689, 0.0000], [5.0656, 3.9689, 0.0000], [-2.8613, 0.0000, 7.3181]],
  "species": ["Tb", "Tb", "Ce", "Ce", "Ce", "Ce", "Pb", "Pb", "Pb", "Pb"],
  "fractional_positions": [[0.1006, 0.8994, 0.7500], [0.8994, 0.1006, 0.2500], [0.3355, 0.4706, 0.0666], [0.4706, 0.3355, 0.5666], [0.5294, 0.6645, 0.4334], [0.6645, 0.5294, 0.9334], [0.0057, 0.6215, 0.3373], [0.3785, 0.9943, 0.1627], [0.6215, 0.0057, 0.8373], [0.9943, 0.3785, 0.6627]]
}

---

[8]
{
  "formula": "TbCePb2",
  "functional": "PBE-GGA",
  "state": "relaxed",
  "crystal_system": "orthorhombic",
  "spacegroup": "Cmmm",
  "formation_enthalpy_0k_ev_per_atom": -0.420,
  "lattice": [[3.6025, -4.5314, 0.0000], [3.6025, 4.5314, 0.0000], [0.0000, 0.0000, 3.5542]],
  "species": ["Tb", "Ce", "Pb", "Pb"],
  "fractional_positions": [[0.0000, 0.0000, 0.0000], [0.5000, 0.5000, 0.0000], [0.0000, 0.5000, 0.5000], [0.5000, 0.0000, 0.5000]]
}

---

[9]
{
  "formula": "Tb5Ce2Pb4",
  "functional": "PBE-GGA",
  "state": "relaxed",
  "crystal_system": "monoclinic",
  "spacegroup": "C2/m",
  "formation_enthalpy_0k_ev_per_atom": -0.120,
  "lattice": [[11.5941, -2.0962, 0.0000], [11.5941, 2.0962, 0.0000], [-2.5930, 0.0000, 7.3654]],
  "species": ["Tb", "Tb", "Tb", "Tb", "Tb", "Ce", "Ce", "Pb", "Pb", "Pb", "Pb"],
  "fractional_positions": [[0.0000, 0.0000, 0.0000], [0.3314, 0.3314, 0.9879], [0.3941, 0.3941, 0.5869], [0.6059, 0.6059, 0.4131], [0.6686, 0.6686, 0.0121], [0.2252, 0.2252, 0.3910], [0.7748, 0.7748, 0.6090], [0.1831, 0.1831, 0.7332], [0.4632, 0.4632, 0.2779], [0.5368, 0.5368, 0.7221], [0.8169, 0.8169, 0.2668]]
}

---

[10]
{
  "formula": "Tb2CePb",
  "functional": "PBE-GGA",
  "state": "relaxed",
  "crystal_system": "trigonal",
  "spacegroup": "R-3m",
  "de_polymorph_mev_per_atom": 330,
  "formation_enthalpy_0k_ev_per_atom": 0.067,
  "lattice": [[1.7561, 1.0139, 12.0019], [-1.7561, 1.0139, 12.0019], [0.0000, -2.0278, 12.0019]],
  "species": ["Tb", "Tb", "Ce", "Pb"],
  "fractional_positions": [[0.0888, 0.0888, 0.0888], [0.9112, 0.9112, 0.9112], [0.5000, 0.5000, 0.5000], [0.0000, 0.0000, 0.0000]]
}

---

[11]
{
  "formula": "TbCe3Pb4",
  "functional": "PBE-GGA",
  "state": "relaxed",
  "crystal_system": "tetragonal",
  "spacegroup": "I4/mmm",
  "de_polymorph_mev_per_atom": 0,
  "formation_enthalpy_0k_ev_per_atom": -0.411,
  "lattice": [[-2.5457, 2.5457, 9.0583], [2.5457, -2.5457, 9.0583], [2.5457, 2.5457, -9.0583]],
  "species": ["Tb", "Ce", "Ce", "Ce", "Pb", "Pb", "Pb", "Pb"],
  "fractional_positions": [[0.0000, 0.0000, 0.0000], [0.2492, 0.2492, 0.0000], [0.5000, 0.5000, 0.0000], [0.7508, 0.7508, 0.0000], [0.1235, 0.6235, 0.5000], [0.3765, 0.8765, 0.5000], [0.6235, 0.1235, 0.5000], [0.8765, 0.3765, 0.5000]]
}

---

[12]
{
  "formula": "Tb2CePb",
  "functional": "PBE-GGA",
  "state": "relaxed",
  "crystal_system": "cubic",
  "spacegroup": "Fm-3m",
  "de_polymorph_mev_per_atom": 201,
  "formation_enthalpy_0k_ev_per_atom": -0.063,
  "lattice": [[0.0000, 3.8575, 3.8575], [3.8575, 0.0000, 3.8575], [3.8575, 3.8575, 0.0000]],
  "species": ["Tb", "Tb", "Ce", "Pb"],
  "fractional_positions": [[0.2500, 0.2500, 0.2500], [0.7500, 0.7500, 0.7500], [0.0000, 0.0000, 0.0000], [0.5000, 0.5000, 0.5000]]
}

---

[13]
{
  "formula": "Tb2CePb",
  "functional": "PBE-GGA",
  "state": "relaxed",
  "crystal_system": "trigonal",
  "spacegroup": "R3m",
  "de_polymorph_mev_per_atom": 157,
  "formation_enthalpy_0k_ev_per_atom": -0.107,
  "lattice": [[1.7800, 1.0277, 11.0830], [-1.7800, 1.0277, 11.0830], [0.0000, -2.0553, 11.0830]],
  "species": ["Tb", "Tb", "Ce", "Pb"],
  "fractional_positions": [[0.0000, 0.0000, 0.0000], [0.1729, 0.1729, 0.1729], [0.7535, 0.7535, 0.7535], [0.5867, 0.5867, 0.5867]]
}

---

[14]
{
  "formula": "Tb5CePb6",
  "functional": "PBE-GGA",
  "state": "relaxed",
  "crystal_system": "monoclinic",
  "spacegroup": "C2/m",
  "de_polymorph_mev_per_atom": 0,
  "formation_enthalpy_0k_ev_per_atom": -0.436,
  "lattice": [[8.0289, -4.4736, 0.0000], [8.0289, 4.4736, 0.0000], [-1.5709, 0.0000, 4.7884]],
  "species": ["Tb", "Tb", "Tb", "Tb", "Tb", "Ce", "Pb", "Pb", "Pb", "Pb", "Pb", "Pb"],
  "fractional_positions": [[0.0000, 0.0000, 0.0000], [0.1667, 0.1667, 0.6668], [0.3317, 0.3317, 0.3321], [0.6683, 0.6683, 0.6679], [0.8333, 0.8333, 0.3332], [0.5000, 0.5000, 0.0000], [0.0810, 0.5836, 0.8326], [0.2477, 0.7523, 0.5000], [0.4164, 0.9190, 0.1674], [0.5836, 0.0810, 0.8326], [0.7523, 0.2477, 0.5000], [0.9190, 0.4164, 0.1674]]
}

---

[15]
{
  "formula": "TbCe2Pb3",
  "functional": "PBE-GGA",
  "state": "relaxed",
  "crystal_system": "orthorhombic",
  "spacegroup": "Immm",
  "formation_enthalpy_0k_ev_per_atom": -0.316,
  "lattice": [[-2.2786, 3.1970, 6.7250], [2.2786, -3.1970, 6.7250], [2.2786, 3.1970, -6.7250]],
  "species": ["Tb", "Ce", "Ce", "Pb", "Pb", "Pb"],
  "fractional_positions": [[0.0000, 0.0000, 0.0000], [0.3338, 0.3338, 0.0000], [0.6662, 0.6662, 0.0000], [0.1678, 0.6678, 0.5000], [0.5000, 0.0000, 0.5000], [0.8322, 0.3322, 0.5000]]
}

---

[16]
{
  "formula": "Tb5CePb6",
  "functional": "PBE-GGA",
  "state": "relaxed",
  "crystal_system": "monoclinic",
  "spacegroup": "C2/m",
  "de_polymorph_mev_per_atom": 9,
  "formation_enthalpy_0k_ev_per_atom": -0.427,
  "lattice": [[3.0969, -7.7852, 0.0000], [3.0969, 7.7852, 0.0000], [-1.8474, 0.0000, 7.5128]],
  "species": ["Tb", "Tb", "Tb", "Tb", "Tb", "Ce", "Pb", "Pb", "Pb", "Pb", "Pb", "Pb"],
  "fractional_positions": [[0.0000, 0.0000, 0.0000], [0.3294, 0.6706, 0.5000], [0.3390, 0.6610, 0.0000], [0.6610, 0.3390, 0.0000], [0.6706, 0.3294, 0.5000], [0.0000, 0.0000, 0.5000], [0.1677, 0.8296, 0.7574], [0.1704, 0.8323, 0.2426], [0.4901, 0.4901, 0.2579], [0.5099, 0.5099, 0.7421], [0.8296, 0.1677, 0.7574], [0.8323, 0.1704, 0.2426]]
}

---

[17]
{
  "formula": "TbCe3Pb5",
  "functional": "PBE-GGA",
  "state": "relaxed",
  "crystal_system": "hexagonal",
  "spacegroup": "P6_3/mcm",
  "formation_enthalpy_0k_ev_per_atom": -0.422,
  "lattice": [[9.6332, 0.0000, 0.0000], [-4.8166, 8.3426, 0.0000], [0.0000, 0.0000, 6.6541]],
  "species": ["Tb", "Tb", "Ce", "Ce", "Ce", "Ce", "Ce", "Ce", "Pb", "Pb", "Pb", "Pb", "Pb", "Pb", "Pb", "Pb", "Pb", "Pb"],
  "fractional_positions": [[0.0000, 0.0000, 0.0000], [0.0000, 0.0000, 0.5000], [0.0000, 0.3828, 0.2500], [0.0000, 0.6172, 0.7500], [0.3828, 0.0000, 0.2500], [0.3828, 0.3828, 0.7500], [0.6172, 0.0000, 0.7500], [0.6172, 0.6172, 0.2500], [0.0000, 0.2840, 0.7500], [0.0000, 0.7160, 0.2500], [0.2840, 0.0000, 0.7500], [0.2840, 0.2840, 0.2500], [0.3333, 0.6667, 0.0000], [0.3333, 0.6667, 0.5000], [0.6667, 0.3333, 0.0000], [0.6667, 0.3333, 0.5000], [0.7160, 0.0000, 0.2500], [0.7160, 0.7160, 0.7500]]
}

---

[18]
{
  "formula": "TbCePb3",
  "functional": "PBE-GGA",
  "state": "relaxed",
  "crystal_system": "orthorhombic",
  "spacegroup": "Pnma",
  "formation_enthalpy_0k_ev_per_atom": -0.220,
  "lattice": [[9.7758, 0.0000, 0.0000], [0.0000, 9.0083, 0.0000], [0.0000, 0.0000, 7.2727]],
  "species": ["Tb", "Tb", "Tb", "Tb", "Ce", "Ce", "Ce", "Ce", "Pb", "Pb", "Pb", "Pb", "Pb", "Pb", "Pb", "Pb", "Pb", "Pb", "Pb", "Pb"],
  "fractional_positions": [[0.0000, 0.0000, 0.0000], [0.0000, 0.5000, 0.0000], [0.5000, 0.0000, 0.5000], [0.5000, 0.5000, 0.5000], [0.0966, 0.2500, 0.4478], [0.4034, 0.7500, 0.9478], [0.5966, 0.2500, 0.0522], [0.9034, 0.7500, 0.5522], [0.1644, 0.7500, 0.2704], [0.2008, 0.5646, 0.6602], [0.2008, 0.9354, 0.6602], [0.2992, 0.0646, 0.1602], [0.2992, 0.4354, 0.1602], [0.3356, 0.2500, 0.7704], [0.6644, 0.7500, 0.2296], [0.7008, 0.5646, 0.8398], [0.7008, 0.9354, 0.8398], [0.7992, 0.0646, 0.3398], [0.7992, 0.4354, 0.3398], [0.8356, 0.2500, 0.7296]]
}

---

[19]
{
  "formula": "Tb2Ce2Pb7",
  "functional": "PBE-GGA",
  "state": "relaxed",
  "crystal_system": "orthorhombic",
  "spacegroup": "Cmmm",
  "formation_enthalpy_0k_ev_per_atom": -0.019,
  "lattice": [[4.5765, -5.5198, 0.0000], [4.5765, 5.5198, 0.0000], [0.0000, 0.0000, 7.3174]],
  "species": ["Tb", "Tb", "Ce", "Ce", "Pb", "Pb", "Pb", "Pb", "Pb", "Pb", "Pb"],
  "fractional_positions": [[0.2189, 0.7811, 0.0000], [0.7811, 0.2189, 0.0000], [0.3442, 0.3442, 0.5000], [0.6558, 0.6558, 0.5000], [0.0000, 0.0000, 0.2952], [0.0000, 0.0000, 0.7048], [0.0000, 0.5000, 0.2857], [0.0000, 0.5000, 0.7143], [0.5000, 0.0000, 0.2857], [0.5000, 0.0000, 0.7143], [0.5000, 0.5000, 0.0000]]
}

---

[20]
{
  "formula": "TbCePb2",
  "functional": "PBE-GGA",
  "state": "relaxed",
  "crystal_system": "trigonal",
  "spacegroup": "R-3m",
  "formation_enthalpy_0k_ev_per_atom": -0.286,
  "lattice": [[1.8246, 1.0534, 10.4260], [-1.8246, 1.0534, 10.4260], [0.0000, -2.1069, 10.4260]],
  "species": ["Tb", "Ce", "Pb", "Pb"],
  "fractional_positions": [[0.0000, 0.0000, 0.0000], [0.5000, 0.5000, 0.5000], [0.2520, 0.2520, 0.2520], [0.7480, 0.7480, 0.7480]]
}